The following is a DFT calculation (PBE) of a relaxed Tm6MgAl crystal.

```
Tm6MgAl
1.0
6.736 0.000 0.000
0.000 11.755 0.000
-3.231 0.000 5.973
Tm Mg Al
12 2 2
Cartesian
0.732 2.447 1.497
0.732 9.308 1.497
-0.826 0.000 4.495
0.964 5.877 1.478
-0.595 3.430 4.476
-0.595 8.324 4.476
4.101 3.430 1.497
4.101 8.324 1.497
2.542 5.877 4.495
4.332 0.000 1.478
2.773 2.447 4.476
2.773 9.308 4.476
-1.615 5.877 2.987
1.753 0.000 2.987
0.000 0.000 0.000
3.368 5.877 0.000
```

Properties
Final energy = -60.71 eV/cell